First-principles (PBE-GGA) data for a relaxed PrNd3Ir8 crystal, as listed in the Alexandria database.

a b c (Å): 5.4484 5.4484 26.6633
angles (deg): 90.00 90.00 120.00
Space group R3m (No. 160, hexagonal axes)
Unique sites:
Pr 0.0000 0.0000 0.0000
Nd 0.0000 0.0000 0.3752
Nd 0.0000 0.0000 0.5000
Nd 0.0000 0.0000 0.8750
Ir 0.0000 0.0000 0.1875
Ir 0.0000 0.0000 0.6876
Ir 0.0002 0.5001 0.4377
Ir 0.9999 0.4999 0.9374

Properties
DFT formation energy: -687 meV per atom

First-principles (PBE-GGA) data for a relaxed PrNdIr crystal, as listed in the Alexandria database.

a b c (Å): 4.2421 4.2421 6.4558
angles (deg): 90.00 90.00 120.00
Space group P3m1 (No. 156)
Unique sites:
Pr 0.0000 0.0000 0.0000
Nd 0.6667 0.3333 0.4558
Ir 0.3333 0.6667 0.2303

Properties
DFT formation energy: -466 meV per atom
Energy relative to the lowest polymorph listed for this composition: 42.1 meV/atom

First-principles (PBE-GGA) data for a relaxed PrNd2Ir2 crystal, as listed in the Alexandria database.

a b c (Å): 4.0629 17.4325 7.6415
angles (deg): 90.00 90.00 90.00
Space group Cmc2_1 (No. 36)
Unique sites:
Pr 0.0000 0.1225 0.0000
Nd 0.0000 0.3125 0.1080
Nd 0.0000 0.4682 0.8323
Ir 0.0000 0.0509 0.6331
Ir 0.0000 0.3051 0.7109

Properties
DFT formation energy: -452 meV per atom

First-principles (PBE-GGA) data for a relaxed PrNdIr crystal, as listed in the Alexandria database.

a b c (Å): 4.7860 12.6817 8.0495
angles (deg): 90.00 90.00 90.00
Space group Amm2 (No. 38)
Unique sites:
Pr 0.0000 0.0000 0.0000
Pr 0.0000 0.2080 0.4127
Nd 0.5000 0.0000 0.3269
Nd 0.5000 0.1349 0.7196
Ir 0.0000 0.0000 0.6029
Ir 0.5000 0.1620 0.0730

Properties
DFT formation energy: -488 meV per atom
Energy relative to the lowest polymorph listed for this composition: 20.0 meV/atom

Repeat the fourth record exactly.
First-principles (PBE-GGA) data for a relaxed PrNdIr crystal, as listed in the Alexandria database.

a b c (Å): 4.7860 12.6817 8.0495
angles (deg): 90.00 90.00 90.00
Space group Amm2 (No. 38)
Unique sites:
Pr 0.0000 0.0000 0.0000
Pr 0.0000 0.2080 0.4127
Nd 0.5000 0.0000 0.3269
Nd 0.5000 0.1349 0.7196
Ir 0.0000 0.0000 0.6029
Ir 0.5000 0.1620 0.0730

Properties
DFT formation energy: -488 meV per atom
Energy relative to the lowest polymorph listed for this composition: 20.0 meV/atom